The following is a DFT calculation (PBE-GGA) of BaRe2Ag after structural relaxation.

Computed properties:
Fermi-level density of states: 4.30 states/eV/cell
crystal system: orthorhombic
energy: -6.30 eV per atom
energy relative to the lowest polymorph listed for this composition: 584 meV/atom
space-group type: Pmmm (47)
formation enthalpy at 0 K: 107.6 kJ/mol of atoms

a b c (Å): 2.847 4.603 6.978
angles (deg): 90.00 90.00 90.00
Element x y z (fractional)
Ba  0.000  0.000  0.000
Re  0.500  0.500  0.336
Re  0.500  0.500  0.664
Ag  0.000  0.000  0.500